This record from Alexandria describes La2Ce2Ge4Rh after structural relaxation. The functional is GGA-PBE.

The structure in POSCAR format:
```
La2Ce2Ge4Rh
1.0
-3.673 3.673 4.065
3.673 -3.673 4.065
3.673 3.673 -4.065
La Ce Ge Rh
2 2 4 1
Direct
0.250 0.750 0.500
0.750 0.250 0.500
0.172 0.172 0.000
0.828 0.828 0.000
0.258 0.258 0.516
0.258 0.742 0.000
0.742 0.258 0.000
0.742 0.742 0.484
0.500 0.500 0.000
```

Computed properties:
Symmetry: I4/mmm, No. 139
Magnetic moment: 1.51 μB/f.u.
Formation energy: -0.608 eV/atom

This record from Alexandria describes Pm3PrNd7 after structural relaxation. The functional is GGA-PBE.

The structure in POSCAR format:
```
Pm3PrNd7
1.0
6.469 -5.739 0.000
6.469 5.739 0.000
-2.795 0.000 5.342
Pm Pr Nd
3 1 7
Direct
0.000 0.000 0.000
0.206 0.794 0.500
0.794 0.206 0.500
0.500 0.500 0.000
0.000 0.403 0.201
0.000 0.597 0.799
0.208 0.208 0.706
0.403 0.000 0.201
0.500 0.500 0.500
0.597 0.000 0.799
0.792 0.792 0.294
```

Computed properties:
Symmetry: C2/m, No. 12
Relative energy among the computed polymorphs: 82.7 meV per atom
Magnetic moment: 0.05 μB/f.u.
Formation energy: 0.212 eV/atom

This record from Alexandria describes NiSb2OsI after structural relaxation. The functional is GGA-PBE.

The structure in POSCAR format:
```
NiSb2OsI
1.0
5.019 0.000 0.000
0.000 5.019 0.000
0.000 0.000 5.781
Ni Sb Os I
1 2 1 1
Direct
0.000 0.000 0.000
0.000 0.500 0.500
0.500 0.000 0.500
0.500 0.500 0.500
0.500 0.500 0.000
```

Computed properties:
Symmetry: P4/mmm, No. 123
Relative energy among the computed polymorphs: 0.0 meV per atom
Raw formation energy: 1094 meV per atom
Magnetic moment: 0.87 μB/f.u.

This record from Alexandria describes VSb2HI after structural relaxation. The functional is GGA-PBE.

The structure in POSCAR format:
```
VSb2HI
1.0
4.385 0.000 0.000
0.000 4.385 0.000
0.000 0.000 5.583
V Sb H I
1 2 1 1
Direct
0.000 0.000 0.000
0.000 0.500 0.500
0.500 0.000 0.500
0.500 0.500 0.500
0.500 0.500 0.000
```

Computed properties:
Symmetry: P4/mmm, No. 123
Relative energy among the computed polymorphs: 168.6 meV per atom
Magnetic moment: 0.07 μB/f.u.

This record from Alexandria describes ThGeBr6 after structural relaxation. The functional is GGA-PBE.

The structure in POSCAR format:
```
ThGeBr6
1.0
6.705 -4.489 0.000
6.705 4.489 0.000
-2.064 0.000 10.418
Th Ge Br
2 2 12
Direct
0.000 0.500 0.000
0.500 0.000 0.500
0.073 0.927 0.750
0.927 0.073 0.250
0.126 0.228 0.450
0.189 0.537 0.235
0.215 0.650 0.880
0.228 0.126 0.950
0.350 0.785 0.620
0.463 0.811 0.265
0.537 0.189 0.735
0.650 0.215 0.380
0.772 0.874 0.050
0.785 0.350 0.120
0.811 0.463 0.765
0.874 0.772 0.550
```

Computed properties:
Symmetry: C2/c, No. 15
Raw formation energy: -1214 meV per atom
Magnetic moment: 0.00 μB/f.u.

This record from Alexandria describes KGa2TcO6 after structural relaxation. The functional is GGA-PBE.

The structure in POSCAR format:
```
KGa2TcO6
1.0
4.537 -5.928 0.000
4.537 5.928 0.000
-2.504 0.000 5.789
K Ga Tc O
2 4 2 12
Direct
0.104 0.896 0.750
0.896 0.104 0.250
0.303 0.446 0.843
0.446 0.303 0.343
0.554 0.697 0.657
0.697 0.554 0.157
0.202 0.798 0.250
0.798 0.202 0.750
0.045 0.238 0.716
0.187 0.634 0.973
0.238 0.045 0.216
0.333 0.431 0.546
0.366 0.813 0.527
0.431 0.333 0.046
0.569 0.667 0.954
0.634 0.187 0.473
0.667 0.569 0.454
0.762 0.955 0.784
0.813 0.366 0.027
0.955 0.762 0.284
```

Computed properties:
Symmetry: C2/c, No. 15
Raw formation energy: -1562 meV per atom
Magnetic moment: 2.00 μB/f.u.